[1]
A plane-wave DFT calculation with PBE was carried out for a geometry-optimized TbPr3Tm3 structure.

CIF file:
```
data_TbPr3Tm3
_cell_length_a 9.648
_cell_length_b 9.648
_cell_length_c 5.770
_cell_angle_alpha 90.00
_cell_angle_beta 90.00
_cell_angle_gamma 120.00
_symmetry_space_group_name_H-M 'P 1'
_symmetry_Int_Tables_number 1
_symmetry_space_group_name_Hall 'P 1'
loop_
_atom_site_label
_atom_site_type_symbol
_atom_site_fract_x
_atom_site_fract_y
_atom_site_fract_z
_atom_site_occupancy
Tb1 Tb 0.333 0.667 0.250 1
Tb2 Tb 0.667 0.333 0.750 1
Pr1 Pr 0.051 0.245 0.250 1
Pr2 Pr 0.194 0.949 0.250 1
Pr3 Pr 0.245 0.194 0.750 1
Pr4 Pr 0.755 0.806 0.250 1
Pr5 Pr 0.806 0.051 0.750 1
Pr6 Pr 0.949 0.755 0.750 1
Tm1 Tm 0.096 0.481 0.750 1
Tm2 Tm 0.385 0.904 0.750 1
Tm3 Tm 0.481 0.385 0.250 1
Tm4 Tm 0.519 0.615 0.750 1
Tm5 Tm 0.615 0.096 0.250 1
Tm6 Tm 0.904 0.519 0.250 1
```

Computed properties:
ΔE_f ... 0.025 eV/atom

[2]
A plane-wave DFT calculation with PBE was carried out for a geometry-optimized SrBAs2Br structure.

CIF file:
```
data_SrBAs2Br
_cell_length_a 4.350
_cell_length_b 4.350
_cell_length_c 6.367
_cell_angle_alpha 90.00
_cell_angle_beta 90.00
_cell_angle_gamma 90.00
_symmetry_space_group_name_H-M 'P 1'
_symmetry_Int_Tables_number 1
_symmetry_space_group_name_Hall 'P 1'
loop_
_atom_site_label
_atom_site_type_symbol
_atom_site_fract_x
_atom_site_fract_y
_atom_site_fract_z
_atom_site_occupancy
Sr1 Sr 0.000 0.000 0.000 1
B1 B 0.500 0.500 0.500 1
As1 As 0.000 0.500 0.500 1
As2 As 0.500 0.000 0.500 1
Br1 Br 0.500 0.500 0.000 1
```

Computed properties:
Energy relative to the elements, uncorrected ... -127 meV per atom

| no. | ρ (kg/m³) | excess energy over the best structure of this formula in the dataset (eV/atom) | magnetization (Bohr magnetons per cell) |
| --- | --- | --- | --- |
| 1 | 7772 | 0.000 | 0.000 |
| 2 | 4524 | 0.000 | 0.000 |